Entry from Alexandria via LeMat-Bulk: Pm2SmCo6 after structural relaxation (PBE-GGA).

The structure in extended XYZ format:
```
9
Lattice="4.176 0.000 0.000 0.000 5.826 -3.364 0.000 0.000 6.727" Properties=species:S:1:pos:R:3 pbc="T T T"
Pm 0.000 1.942 3.364
Pm 4.176 3.884 0.000
Sm 0.000 0.000 6.727
Co 2.088 1.940 1.120
Co 2.088 3.886 2.243
Co 2.088 0.000 4.487
Co 2.088 3.886 4.484
Co 2.088 1.940 -1.120
Co 2.088 5.826 -1.123
```

Space-group type: P6/mmm
Spin magnetization, μB per atom: 0.50
Electronic total energy, eV/atom: -6.4220